Record 1
Below is crystalline MgBW2F at its relaxed geometry, with properties calculated at the PBE with a Hubbard U level.

Summary:
* V: 24.54 A^3/atom
* E_tot: -2.9881 eV per atom
* density: 5.71 g/cm3

Geometry as CIF:
```
data_MgBW2F
_cell_length_a 5.4389
_cell_length_b 5.4389
_cell_length_c 4.1475
_cell_angle_alpha 90.00
_cell_angle_beta 90.00
_cell_angle_gamma 90.00
_symmetry_space_group_name_H-M 'P 4/m m m'
_symmetry_Int_Tables_number 123
_symmetry_space_group_name_Hall '-P 4 2'
loop_
_atom_site_label
_atom_site_fract_x
_atom_site_fract_y
_atom_site_fract_z
Mg1 0.0000 0.0000 0.0000
B1 0.0000 0.0000 0.5000
W1 0.0000 0.5000 0.0000
F1 0.5000 0.5000 0.5000
```

***

Record 2
Below is crystalline MgBW2F at its relaxed geometry, with properties calculated at the PBE with a Hubbard U level.

Summary:
* V: 20.82 A^3/atom
* E_tot: -3.3621 eV per atom
* density: 6.73 g/cm3

Geometry as CIF:
```
data_MgBW2F
_cell_length_a 5.4055
_cell_length_b 5.4055
_cell_length_c 3.5631
_cell_angle_alpha 90.00
_cell_angle_beta 90.00
_cell_angle_gamma 90.00
_symmetry_space_group_name_H-M 'P 4/m m m'
_symmetry_Int_Tables_number 123
_symmetry_space_group_name_Hall '-P 4 2'
loop_
_atom_site_label
_atom_site_fract_x
_atom_site_fract_y
_atom_site_fract_z
Mg1 0.0000 0.0000 0.0000
B1 0.5000 0.5000 0.5000
W1 0.0000 0.5000 0.0000
F1 0.0000 0.0000 0.5000
```

***

The highest E_tot belongs to which entry? number 1

***

Repeat the first record exactly.
Below is crystalline MgBW2F at its relaxed geometry, with properties calculated at the PBE with a Hubbard U level.

Summary:
* V: 24.54 A^3/atom
* E_tot: -2.9881 eV per atom
* density: 5.71 g/cm3

Geometry as CIF:
```
data_MgBW2F
_cell_length_a 5.4389
_cell_length_b 5.4389
_cell_length_c 4.1475
_cell_angle_alpha 90.00
_cell_angle_beta 90.00
_cell_angle_gamma 90.00
_symmetry_space_group_name_H-M 'P 4/m m m'
_symmetry_Int_Tables_number 123
_symmetry_space_group_name_Hall '-P 4 2'
loop_
_atom_site_label
_atom_site_fract_x
_atom_site_fract_y
_atom_site_fract_z
Mg1 0.0000 0.0000 0.0000
B1 0.0000 0.0000 0.5000
W1 0.0000 0.5000 0.0000
F1 0.5000 0.5000 0.5000
```